Entry 1:
## SmBrO (PBE)

Data for crystalline SmBrO at its relaxed geometry.

Unit cell a=3.948 b=3.948 c=9.085 alpha=90.00 beta=90.00 gamma=90.00
Fractional coordinates of all 6 atoms:
Sm 0.500 0.000 0.870
Sm 0.000 0.500 0.130
Br 0.000 0.500 0.686
Br 0.500 0.000 0.314
O 0.000 0.000 0.000
O 0.500 0.500 0.000

Raw total energy in eV per atom: -6.67
Raw formation energy in meV per atom: -2889.2
Crystal system: tetragonal
Theoretical density in g/cm3: 5.78
Density of states at the Fermi level in states/eV per atom: 0.000

=====

Entry 2:
## SmTa6Br13O3 (PBE)

Data for crystalline SmTa6Br13O3 at its relaxed geometry.

Unit cell a=9.720 b=9.720 c=29.014 alpha=99.64 beta=99.64 gamma=90.00
Fractional coordinates of all 92 atoms:
Sm 0.096 0.096 0.192
Sm 0.346 0.846 0.692
Sm 0.154 0.654 0.308
Sm 0.904 0.904 0.808
Ta 0.346 0.295 0.429
Ta 0.083 0.134 0.429
Ta 0.384 0.096 0.929
Ta 0.904 0.616 0.071
Ta 0.545 0.833 0.929
Ta 0.167 0.455 0.071
Ta 0.866 0.917 0.571
Ta 0.705 0.654 0.571
Ta 0.178 0.744 0.126
Ta 0.948 0.382 0.126
Ta 0.632 0.928 0.626
Ta 0.072 0.368 0.374
Ta 0.994 0.698 0.626
Ta 0.302 0.006 0.374
Ta 0.618 0.052 0.874
Ta 0.256 0.822 0.874
Ta 0.276 0.252 0.323
Ta 0.047 0.071 0.323
Ta 0.321 0.026 0.823
Ta 0.974 0.679 0.177
Ta 0.502 0.797 0.823
Ta 0.203 0.498 0.177
Ta 0.929 0.953 0.677
Ta 0.748 0.724 0.677
Br 0.371 0.375 0.250
Br 0.879 0.875 0.250
Br 0.125 0.121 0.750
Br 0.625 0.629 0.750
Br 0.499 0.387 0.375
Br 0.876 0.987 0.375
Br 0.237 0.249 0.875
Br 0.751 0.763 0.125
Br 0.637 0.626 0.875
Br 0.374 0.363 0.125
Br 0.013 0.124 0.625
Br 0.613 0.501 0.625
Br 0.391 0.707 0.193
Br 0.802 0.486 0.193
Br 0.736 0.141 0.693
Br 0.859 0.264 0.307
Br 0.957 0.552 0.693
Br 0.448 0.043 0.307
Br 0.514 0.198 0.807
Br 0.293 0.609 0.807
Br 0.044 0.212 0.060
Br 0.016 0.848 0.060
Br 0.098 0.794 0.560
Br 0.206 0.902 0.440
Br 0.462 0.766 0.560
Br 0.234 0.538 0.440
Br 0.152 0.984 0.940
Br 0.788 0.956 0.940
Br 0.336 0.656 0.063
Br 0.728 0.407 0.063
Br 0.657 0.086 0.563
Br 0.914 0.343 0.437
Br 0.906 0.478 0.563
Br 0.522 0.094 0.437
Br 0.593 0.272 0.937
Br 0.344 0.664 0.937
Br 0.320 0.320 0.000
Br 0.680 0.680 0.000
Br 0.930 0.070 0.500
Br 0.570 0.430 0.500
Br 0.252 0.252 0.504
Br 0.502 0.002 0.004
Br 0.998 0.498 0.996
Br 0.748 0.748 0.496
Br 0.426 0.745 0.360
Br 0.934 0.615 0.360
Br 0.865 0.176 0.860
Br 0.824 0.135 0.140
Br 0.995 0.684 0.860
Br 0.316 0.005 0.140
Br 0.385 0.066 0.640
Br 0.255 0.574 0.640
O 0.095 0.322 0.175
O 0.080 0.853 0.175
O 0.103 0.845 0.675
O 0.155 0.897 0.325
O 0.572 0.830 0.675
O 0.170 0.428 0.325
O 0.147 0.920 0.825
O 0.678 0.905 0.825
O 0.136 0.136 0.271
O 0.386 0.886 0.771
O 0.114 0.614 0.229
O 0.864 0.864 0.729

Raw total energy in eV per atom: -6.30
Raw formation energy in meV per atom: -1406.8
Crystal system: tetragonal
Theoretical density in g/cm3: 5.79

=====

Entry 3:
## SmTaBrO4 (PBE)

Data for crystalline SmTaBrO4 at its relaxed geometry.

Unit cell a=7.106 b=7.106 c=7.090 alpha=77.26 beta=77.26 gamma=55.27
Fractional coordinates of all 14 atoms:
Sm 0.291 0.291 0.838
Sm 0.709 0.709 0.162
Ta 0.625 0.625 0.751
Ta 0.375 0.375 0.249
Br 0.013 0.013 0.334
Br 0.987 0.987 0.666
O 0.312 0.312 0.514
O 0.688 0.688 0.486
O 0.104 0.535 0.125
O 0.526 0.526 0.204
O 0.465 0.896 0.875
O 0.535 0.104 0.125
O 0.474 0.474 0.796
O 0.896 0.465 0.875

Raw total energy in eV per atom: -8.05
Raw formation energy in meV per atom: -2611.2
Crystal system: monoclinic
Theoretical density in g/cm3: 5.54

=====

Entry 4:
## SmTcBrO4 (PBE)

Data for crystalline SmTcBrO4 at its relaxed geometry.

Unit cell a=6.482 b=6.482 c=7.020 alpha=78.21 beta=78.21 gamma=68.37
Last column: magnetic moment on the atom in μB.
Fractional coordinates of all 14 atoms:
Sm 0.227 0.227 0.892  0.03
Sm 0.773 0.773 0.108  0.03
Tc 0.633 0.633 0.722  0.67
Tc 0.367 0.367 0.278  0.67
Br 0.013 0.013 0.246  0.00
Br 0.987 0.987 0.754  0.00
O 0.289 0.289 0.528  0.02
O 0.711 0.711 0.472  0.02
O 0.124 0.485 0.143  0.07
O 0.536 0.536 0.214  0.02
O 0.515 0.876 0.857  0.07
O 0.485 0.124 0.143  0.07
O 0.464 0.464 0.786  0.02
O 0.876 0.515 0.857  0.07

Raw total energy in eV per atom: -7.21
Raw formation energy in meV per atom: -1980.1
Crystal system: monoclinic
Theoretical density in g/cm3: 4.90
Density of states at the Fermi level in states/eV per atom: 0.388

=====

Copy entry 4 word for word.
## SmTcBrO4 (PBE)

Data for crystalline SmTcBrO4 at its relaxed geometry.

Unit cell a=6.482 b=6.482 c=7.020 alpha=78.21 beta=78.21 gamma=68.37
Last column: magnetic moment on the atom in μB.
Fractional coordinates of all 14 atoms:
Sm 0.227 0.227 0.892  0.03
Sm 0.773 0.773 0.108  0.03
Tc 0.633 0.633 0.722  0.67
Tc 0.367 0.367 0.278  0.67
Br 0.013 0.013 0.246  0.00
Br 0.987 0.987 0.754  0.00
O 0.289 0.289 0.528  0.02
O 0.711 0.711 0.472  0.02
O 0.124 0.485 0.143  0.07
O 0.536 0.536 0.214  0.02
O 0.515 0.876 0.857  0.07
O 0.485 0.124 0.143  0.07
O 0.464 0.464 0.786  0.02
O 0.876 0.515 0.857  0.07

Raw total energy in eV per atom: -7.21
Raw formation energy in meV per atom: -1980.1
Crystal system: monoclinic
Theoretical density in g/cm3: 4.90
Density of states at the Fermi level in states/eV per atom: 0.388

=====

Q: What is the theoretical density in the first record?
A: 5.78 g/cm3

=====

Please write out number 2 again, unchanged.
## SmTa6Br13O3 (PBE)

Data for crystalline SmTa6Br13O3 at its relaxed geometry.

Unit cell a=9.720 b=9.720 c=29.014 alpha=99.64 beta=99.64 gamma=90.00
Fractional coordinates of all 92 atoms:
Sm 0.096 0.096 0.192
Sm 0.346 0.846 0.692
Sm 0.154 0.654 0.308
Sm 0.904 0.904 0.808
Ta 0.346 0.295 0.429
Ta 0.083 0.134 0.429
Ta 0.384 0.096 0.929
Ta 0.904 0.616 0.071
Ta 0.545 0.833 0.929
Ta 0.167 0.455 0.071
Ta 0.866 0.917 0.571
Ta 0.705 0.654 0.571
Ta 0.178 0.744 0.126
Ta 0.948 0.382 0.126
Ta 0.632 0.928 0.626
Ta 0.072 0.368 0.374
Ta 0.994 0.698 0.626
Ta 0.302 0.006 0.374
Ta 0.618 0.052 0.874
Ta 0.256 0.822 0.874
Ta 0.276 0.252 0.323
Ta 0.047 0.071 0.323
Ta 0.321 0.026 0.823
Ta 0.974 0.679 0.177
Ta 0.502 0.797 0.823
Ta 0.203 0.498 0.177
Ta 0.929 0.953 0.677
Ta 0.748 0.724 0.677
Br 0.371 0.375 0.250
Br 0.879 0.875 0.250
Br 0.125 0.121 0.750
Br 0.625 0.629 0.750
Br 0.499 0.387 0.375
Br 0.876 0.987 0.375
Br 0.237 0.249 0.875
Br 0.751 0.763 0.125
Br 0.637 0.626 0.875
Br 0.374 0.363 0.125
Br 0.013 0.124 0.625
Br 0.613 0.501 0.625
Br 0.391 0.707 0.193
Br 0.802 0.486 0.193
Br 0.736 0.141 0.693
Br 0.859 0.264 0.307
Br 0.957 0.552 0.693
Br 0.448 0.043 0.307
Br 0.514 0.198 0.807
Br 0.293 0.609 0.807
Br 0.044 0.212 0.060
Br 0.016 0.848 0.060
Br 0.098 0.794 0.560
Br 0.206 0.902 0.440
Br 0.462 0.766 0.560
Br 0.234 0.538 0.440
Br 0.152 0.984 0.940
Br 0.788 0.956 0.940
Br 0.336 0.656 0.063
Br 0.728 0.407 0.063
Br 0.657 0.086 0.563
Br 0.914 0.343 0.437
Br 0.906 0.478 0.563
Br 0.522 0.094 0.437
Br 0.593 0.272 0.937
Br 0.344 0.664 0.937
Br 0.320 0.320 0.000
Br 0.680 0.680 0.000
Br 0.930 0.070 0.500
Br 0.570 0.430 0.500
Br 0.252 0.252 0.504
Br 0.502 0.002 0.004
Br 0.998 0.498 0.996
Br 0.748 0.748 0.496
Br 0.426 0.745 0.360
Br 0.934 0.615 0.360
Br 0.865 0.176 0.860
Br 0.824 0.135 0.140
Br 0.995 0.684 0.860
Br 0.316 0.005 0.140
Br 0.385 0.066 0.640
Br 0.255 0.574 0.640
O 0.095 0.322 0.175
O 0.080 0.853 0.175
O 0.103 0.845 0.675
O 0.155 0.897 0.325
O 0.572 0.830 0.675
O 0.170 0.428 0.325
O 0.147 0.920 0.825
O 0.678 0.905 0.825
O 0.136 0.136 0.271
O 0.386 0.886 0.771
O 0.114 0.614 0.229
O 0.864 0.864 0.729

Raw total energy in eV per atom: -6.30
Raw formation energy in meV per atom: -1406.8
Crystal system: tetragonal
Theoretical density in g/cm3: 5.79

=====

Q: Which of these has the lowest raw total energy?
A: SmTaBrO4